# 1
# CsPtF

A relaxed structure of CsPtF (PBE, Alexandria via LeMat-Bulk).

Properties
* crystal system: orthorhombic
* uncorrected formation energy: -1.19 eV per atom
* energy above the most stable polymorph in this dataset: 92 meV/atom

```
data_CsPtF
_chemical_formula_sum 'Cs4 Pt4 F4'
_cell_length_a 5.945
_cell_length_b 13.363
_cell_length_c 3.703
_cell_angle_alpha 90.00
_cell_angle_beta 90.00
_cell_angle_gamma 90.00
_space_group_name_H-M_alt 'C m c m'
_space_group_IT_number 63
_space_group_name_Hall '-C 2c 2'
loop_
_atom_site_label
_atom_site_type_symbol
_atom_site_fract_x
_atom_site_fract_y
_atom_site_fract_z
Cs1 Cs 0.000 0.147 0.250
Pt1 Pt 0.000 0.438 0.250
F1 F 0.000 0.324 0.750
```


# 2
# LiLa3Ho3Te8

A relaxed structure of LiLa3Ho3Te8 (PBE, Alexandria via LeMat-Bulk).

Properties
* crystal system: trigonal
* uncorrected formation energy: -1.42 eV per atom

```
data_LiLa3Ho3Te8
_chemical_formula_sum 'Li3 La9 Ho9 Te24'
_cell_length_a 8.8420
_cell_length_b 8.8420
_cell_length_c 21.9015
_cell_angle_alpha 90.00
_cell_angle_beta 90.00
_cell_angle_gamma 120.00
_space_group_name_H-M_alt 'R -3 m'
_space_group_IT_number 166
_space_group_name_Hall '-R 3 2"'
loop_
_atom_site_label
_atom_site_type_symbol
_atom_site_fract_x
_atom_site_fract_y
_atom_site_fract_z
Li1 Li 0.0000 0.0000 0.0000
La1 La 0.0000 0.5000 0.5000
Ho1 Ho 0.0000 0.5000 0.0000
Te1 Te 0.0000 0.0000 0.2557
Te2 Te 0.0043 0.5022 0.2545
```


# 3
# Ta2BeW

A relaxed structure of Ta2BeW (PBE, Alexandria via LeMat-Bulk).

Properties
* formation energy: 694 meV/atom
* crystal system: tetragonal

```
data_Ta2BeW
_chemical_formula_sum 'Ta8 Be4 W4'
_cell_length_a 7.157
_cell_length_b 7.157
_cell_length_c 5.073
_cell_angle_alpha 90.00
_cell_angle_beta 90.00
_cell_angle_gamma 90.00
_space_group_name_H-M_alt 'I -4 2 d'
_space_group_IT_number 122
_space_group_name_Hall 'I -4 2bw'
loop_
_atom_site_label
_atom_site_type_symbol
_atom_site_fract_x
_atom_site_fract_y
_atom_site_fract_z
Ta1 Ta 0.212 0.250 0.125
Be1 Be 0.000 0.000 0.000
W1 W 0.000 0.000 0.500
```


# 4
# KDyGe2Br8

A relaxed structure of KDyGe2Br8 (PBE, Alexandria via LeMat-Bulk).

Properties
* crystal system: triclinic
* uncorrected formation energy: -1.16 eV per atom

```
data_KDyGe2Br8
_chemical_formula_sum 'K1 Dy1 Ge2 Br8'
_cell_length_a 6.658
_cell_length_b 7.273
_cell_length_c 9.251
_cell_angle_alpha 86.23
_cell_angle_beta 89.06
_cell_angle_gamma 85.62
_space_group_name_H-M_alt 'P -1'
_space_group_IT_number 2
loop_
_space_group_symop_operation_xyz
'x,y,z'
'-x,-y,-z'
loop_
_atom_site_label
_atom_site_type_symbol
_atom_site_fract_x
_atom_site_fract_y
_atom_site_fract_z
K1 K 0.000 0.000 0.000
Dy1 Dy 0.000 0.000 0.500
Ge1 Ge 0.456 0.450 0.259
Br1 Br 0.228 0.821 0.290
Br2 Br 0.232 0.318 0.469
Br3 Br 0.267 0.860 0.722
Br4 Br 0.271 0.361 0.050
```


# 5
# KCaAs2

A relaxed structure of KCaAs2 (PBE, Alexandria via LeMat-Bulk).

Properties
* formation energy: -260 meV/atom
* crystal system: tetragonal
* energy above the most stable polymorph in this dataset: 469 meV/atom

```
data_KCaAs2
_chemical_formula_sum 'K1 Ca1 As2'
_cell_length_a 3.755
_cell_length_b 3.755
_cell_length_c 9.005
_cell_angle_alpha 90.00
_cell_angle_beta 90.00
_cell_angle_gamma 90.00
_space_group_name_H-M_alt 'P 4 m m'
_space_group_IT_number 99
loop_
_space_group_symop_operation_xyz
'x,y,z'
'-y,x,z'
'-x,-y,z'
'y,-x,z'
'-x,y,z'
'y,x,z'
'x,-y,z'
'-y,-x,z'
loop_
_atom_site_label
_atom_site_type_symbol
_atom_site_fract_x
_atom_site_fract_y
_atom_site_fract_z
K1 K 0.000 0.000 0.000
Ca1 Ca 0.500 0.500 0.584
As1 As 0.000 0.000 0.363
As2 As 0.500 0.500 0.272
```


# 6
# KLa2W2N6

A relaxed structure of KLa2W2N6 (PBE, Alexandria via LeMat-Bulk).

Properties
* crystal system: triclinic
* uncorrected formation energy: -0.63 eV per atom

```
data_KLa2W2N6
_chemical_formula_sum 'K1 La2 W2 N6'
_cell_length_a 6.450
_cell_length_b 6.790
_cell_length_c 6.908
_cell_angle_alpha 94.93
_cell_angle_beta 115.88
_cell_angle_gamma 115.40
_space_group_name_H-M_alt 'P -1'
_space_group_IT_number 2
loop_
_space_group_symop_operation_xyz
'x,y,z'
'-x,-y,-z'
loop_
_atom_site_label
_atom_site_type_symbol
_atom_site_fract_x
_atom_site_fract_y
_atom_site_fract_z
K1 K 0.000 0.000 0.000
La1 La 0.380 0.679 0.286
W1 W 0.228 0.682 0.687
N1 N 0.129 0.675 0.905
N2 N 0.271 0.906 0.549
N3 N 0.467 0.595 0.705
```


# 7
# AgPdF

A relaxed structure of AgPdF (PBE, Alexandria via LeMat-Bulk).

Properties
* crystal system: hexagonal
* uncorrected formation energy: -0.29 eV per atom

```
data_AgPdF
_chemical_formula_sum 'Ag1 Pd1 F1'
_cell_length_a 4.2382
_cell_length_b 4.2382
_cell_length_c 2.8782
_cell_angle_alpha 90.00
_cell_angle_beta 90.00
_cell_angle_gamma 120.00
_space_group_name_H-M_alt 'P -6 m 2'
_space_group_IT_number 187
_space_group_name_Hall 'P -6 2'
loop_
_atom_site_label
_atom_site_type_symbol
_atom_site_fract_x
_atom_site_fract_y
_atom_site_fract_z
Ag1 Ag 0.0000 0.0000 0.0000
Pd1 Pd 0.6667 0.3333 0.5000
F1 F 0.3333 0.6667 0.5000
```


# 8
# CeNdPb2

A relaxed structure of CeNdPb2 (PBE, Alexandria via LeMat-Bulk).

Properties
* formation energy: -461 meV/atom
* crystal system: orthorhombic

```
data_CeNdPb2
_chemical_formula_sum 'Ce2 Nd2 Pb4'
_cell_length_a 4.559
_cell_length_b 4.672
_cell_length_c 12.003
_cell_angle_alpha 90.00
_cell_angle_beta 90.00
_cell_angle_gamma 90.00
_space_group_name_H-M_alt 'A m m 2'
_space_group_IT_number 38
loop_
_space_group_symop_operation_xyz
'x,y,z'
'-x,-y,z'
'-x,y,z'
'x,-y,z'
'x,y+1/2,z+1/2'
'-x,-y+1/2,z+1/2'
'-x,y+1/2,z+1/2'
'x,-y+1/2,z+1/2'
loop_
_atom_site_label
_atom_site_type_symbol
_atom_site_fract_x
_atom_site_fract_y
_atom_site_fract_z
Ce1 Ce 0.000 0.000 0.000
Nd1 Nd 0.500 0.000 0.737
Pb1 Pb 0.000 0.000 0.271
Pb2 Pb 0.500 0.000 0.465
```


# 9
# Pm2Pr

A relaxed structure of Pm2Pr (PBE, Alexandria via LeMat-Bulk).

Properties
* formation energy: 10 meV/atom
* crystal system: trigonal
* energy above the most stable polymorph in this dataset: 3 meV/atom

```
data_Pm2Pr
_chemical_formula_sum 'Pm12 Pr6'
_cell_length_a 3.6862
_cell_length_b 3.6862
_cell_length_c 53.6405
_cell_angle_alpha 90.00
_cell_angle_beta 90.00
_cell_angle_gamma 120.00
_space_group_name_H-M_alt 'R -3 m'
_space_group_IT_number 166
_space_group_name_Hall '-R 3 2"'
loop_
_atom_site_label
_atom_site_type_symbol
_atom_site_fract_x
_atom_site_fract_y
_atom_site_fract_z
Pm1 Pm 0.0000 0.0000 0.1390
Pm2 Pm 0.0000 0.0000 0.3059
Pr1 Pr 0.0000 0.0000 0.4167
```


# 10
# PmPrIrRh

A relaxed structure of PmPrIrRh (PBE, Alexandria via LeMat-Bulk).

Properties
* formation energy: -615 meV/atom
* crystal system: cubic
* energy above the most stable polymorph in this dataset: 36 meV/atom

```
data_PmPrIrRh
_chemical_formula_sum 'Pm4 Pr4 Ir4 Rh4'
_cell_length_a 7.092
_cell_length_b 7.092
_cell_length_c 7.092
_cell_angle_alpha 90.00
_cell_angle_beta 90.00
_cell_angle_gamma 90.00
_space_group_name_H-M_alt 'F -4 3 m'
_space_group_IT_number 216
_space_group_name_Hall 'F -4 2 3'
loop_
_atom_site_label
_atom_site_type_symbol
_atom_site_fract_x
_atom_site_fract_y
_atom_site_fract_z
Pm1 Pm 0.000 0.000 0.000
Pr1 Pr 0.000 0.000 0.500
Ir1 Ir 0.250 0.250 0.750
Rh1 Rh 0.250 0.250 0.250
```


# 11
# Mg3TcNi

A relaxed structure of Mg3TcNi (PBE, Alexandria via LeMat-Bulk).

Properties
* formation energy: 695 meV/atom
* crystal system: cubic
* energy above the most stable polymorph in this dataset: 0 meV/atom

```
data_Mg3TcNi
_chemical_formula_sum 'Mg3 Tc1 Ni1'
_cell_length_a 4.640
_cell_length_b 4.640
_cell_length_c 4.640
_cell_angle_alpha 90.00
_cell_angle_beta 90.00
_cell_angle_gamma 90.00
_space_group_name_H-M_alt 'P m -3 m'
_space_group_IT_number 221
_space_group_name_Hall '-P 4 2 3'
loop_
_atom_site_label
_atom_site_type_symbol
_atom_site_fract_x
_atom_site_fract_y
_atom_site_fract_z
Mg1 Mg 0.000 0.000 0.500
Tc1 Tc 0.500 0.500 0.500
Ni1 Ni 0.000 0.000 0.000
```


# 12
# Y3Er6Pu

A relaxed structure of Y3Er6Pu (PBE, Alexandria via LeMat-Bulk).

Properties
* formation energy: 182 meV/atom
* crystal system: monoclinic

```
data_Y3Er6Pu
_chemical_formula_sum 'Y6 Er12 Pu2'
_cell_length_a 9.140
_cell_length_b 10.052
_cell_length_c 6.677
_cell_angle_alpha 90.00
_cell_angle_beta 90.20
_cell_angle_gamma 90.00
_space_group_name_H-M_alt 'C 1 2 1'
_space_group_IT_number 5
loop_
_space_group_symop_operation_xyz
'x,y,z'
'-x,y,-z'
'x+1/2,y+1/2,z'
'-x+1/2,y+1/2,-z'
loop_
_atom_site_label
_atom_site_type_symbol
_atom_site_fract_x
_atom_site_fract_y
_atom_site_fract_z
Y1 Y 0.000 0.000 0.000
Y2 Y 0.200 0.105 0.663
Er1 Er 0.000 0.674 0.000
Er2 Er 0.000 0.836 0.500
Er3 Er 0.161 0.275 0.241
Er4 Er 0.198 0.422 0.798
Pu1 Pu 0.000 0.530 0.500
```


no.,DOS(E_F) (states/eV per atom)
1,0.000
2,0.314
3,0.540
4,0.000
5,0.484
6,0.353
7,1.326
8,2.142
9,1.471
10,0.534
11,0.674
12,1.430